## Tl4SeO (PBE)

Data for a relaxed structure of Tl4SeO.

Its uncorrected formation energy is -2.80 eV/f.u. The calculation puts the energy above the most stable polymorph in this dataset at 0 kJ/mol of formula units. As for the crystal system: monoclinic.

Unit cell a=7.2169 b=7.1651 c=7.6414 alpha=90.00 beta=92.17 gamma=90.00
With the nearest neighbours (Å) after each atom.
Fractional coordinates of all 12 atoms:
Tl 0.0778 0.2500 0.3780  1 O 2.32
Tl 0.1304 0.7500 0.0878  1 O 2.35
Tl 0.4146 0.5007 0.7355  1 O 2.42
Tl 0.4146 0.9993 0.7355  1 O 2.42
Tl 0.5854 0.0007 0.2645  1 O 2.42
Tl 0.5854 0.4993 0.2645  1 O 2.42
Tl 0.8696 0.2500 0.9122  1 O 2.35
Tl 0.9222 0.7500 0.6220  1 O 2.32
Se 0.2902 0.2500 0.0469  6 Tl 3.01-3.20
Se 0.7098 0.7500 0.9531  6 Tl 3.01-3.20
O 0.1970 0.7500 0.7886  4 Tl 2.32-2.42
O 0.8030 0.2500 0.2114  4 Tl 2.32-2.42